Entry from the Alexandria database: a relaxed K3TeCl8 crystal (GGA-PBE).

Cell lengths 7.1838, 7.1838, 7.1838 Å; angles 90.00, 90.00, 90.00 degrees
Fractional coordinates of all 12 atoms:
1 Cl 0.7781 0.7781 0.2219
2 Cl 0.2219 0.2219 0.2219
3 K 0.5000 0.0000 0.5000
4 K 0.0000 0.5000 0.5000
5 Te 0.0000 0.0000 0.0000
6 Cl 0.2219 0.7781 0.7781
7 Cl 0.7781 0.2219 0.2219
8 Cl 0.2219 0.2219 0.7781
9 Cl 0.2219 0.7781 0.2219
10 K 0.5000 0.5000 0.0000
11 Cl 0.7781 0.7781 0.7781
12 Cl 0.7781 0.2219 0.7781

The value obtained for the spin magnetization is 0.000 μB per atom. The value obtained for the volume is 370.7 Å³ per cell. The calculation puts the uncorrected energy at -2.832 eV per atom.



Entry from the Alexandria database: a relaxed KTeCl2 crystal (GGA-PBE).

Cell lengths 3.5052, 3.5052, 8.6043 Å; angles 90.00, 90.00, 90.00 degrees
Fractional coordinates of all 4 atoms:
1 K 0.5000 0.5000 0.2500
2 Te 0.5000 0.5000 0.7500
3 Cl 0.0000 0.0000 0.0244
4 Cl 0.0000 0.0000 0.4756

The value obtained for the spin magnetization is 0.151 μB per atom. The value obtained for the volume is 105.7 Å³ per cell. The calculation puts the uncorrected energy at -2.668 eV per atom.



Entry from the Alexandria database: a relaxed K2TeCl crystal (GGA-PBE).

Cell lengths 9.4084, 9.4084, 9.4084 Å; angles 157.67, 153.28, 35.09 degrees
Fractional coordinates of all 4 atoms:
1 Te 0.4446 0.4446 0.0000
2 Cl 0.2048 0.7048 0.5000
3 K 0.7848 0.2848 0.5000
4 K 0.0658 0.0658 0.0000

The value obtained for the spin magnetization is 0.000 μB per atom. The value obtained for the volume is 142.1 Å³ per cell. The calculation puts the uncorrected energy at -3.051 eV per atom.



Entry from the Alexandria database: a relaxed KTeCl2 crystal (GGA-PBE).

Cell lengths 8.2618, 8.2618, 8.2618 Å; angles 151.11, 151.17, 41.27 degrees
Fractional coordinates of all 4 atoms:
1 K 0.5227 0.5227 0.0000
2 Cl 0.7416 0.2416 0.5000
3 Cl 0.9783 0.9783 0.0000
4 Te 0.2574 0.7574 0.5000

The value obtained for the spin magnetization is 0.000 μB per atom. The value obtained for the volume is 131.1 Å³ per cell. The calculation puts the uncorrected energy at -2.726 eV per atom.



Entry from the Alexandria database: a relaxed K10Te4Cl crystal (GGA-PBE).

Cell lengths 5.8240, 5.8240, 23.8416 Å; angles 82.98, 82.98, 60.00 degrees
Fractional coordinates of all 15 atoms:
1 K 0.9506 0.9506 0.1481
2 K 0.8501 0.8501 0.4498
3 K 0.4499 0.4499 0.6502
4 Te 0.2002 0.2002 0.3994
5 Cl 0.0000 0.0000 0.0000
6 K 0.2504 0.2504 0.2488
7 K 0.3497 0.3497 0.9508
8 K 0.5501 0.5501 0.3498
9 Te 0.7998 0.7998 0.6006
10 K 0.0494 0.0494 0.8519
11 K 0.1499 0.1499 0.5502
12 Te 0.3993 0.3993 0.8022
13 K 0.7496 0.7496 0.7512
14 Te 0.6007 0.6007 0.1978
15 K 0.6503 0.6503 0.0492

The value obtained for the spin magnetization is 0.000 μB per atom. The value obtained for the volume is 693.3 Å³ per cell. The calculation puts the uncorrected energy at -2.723 eV per atom.



Entry from the Alexandria database: a relaxed KTeCl2 crystal (GGA-PBE).

Cell lengths 5.7237, 3.7994, 6.8016 Å; angles 56.07, 90.00, 90.00 degrees
Fractional coordinates of all 4 atoms:
1 Cl 0.5000 0.2488 0.3747
2 Te 0.5000 0.7502 0.8748
3 Cl 0.0000 0.7506 0.8749
4 K 0.0000 0.7504 0.3756

The value obtained for the spin magnetization is 0.000 μB per atom. The value obtained for the volume is 122.7 Å³ per cell. The calculation puts the uncorrected energy at -2.891 eV per atom.



Entry from the Alexandria database: a relaxed KTeCl2 crystal (GGA-PBE).

Cell lengths 9.4342, 9.4342, 9.4342 Å; angles 22.97, 22.97, 22.97 degrees
Fractional coordinates of all 4 atoms:
1 K 0.2500 0.2500 0.2500
2 Cl 0.9938 0.9938 0.9938
3 Te 0.7500 0.7500 0.7500
4 Cl 0.5062 0.5062 0.5062

The value obtained for the spin magnetization is 0.152 μB per atom. The value obtained for the volume is 112.3 Å³ per cell. The calculation puts the uncorrected energy at -2.593 eV per atom.



Entry from the Alexandria database: a relaxed K2TeCl6 crystal (GGA-PBE).

Cell lengths 7.3185, 7.8991, 10.1775 Å; angles 90.00, 91.54, 90.00 degrees
Fractional coordinates of all 18 atoms:
1 Cl 0.0917 0.0221 0.7444
2 K 0.9788 0.4176 0.7501
3 Cl 0.6719 0.2219 0.9560
4 Cl 0.1719 0.2781 0.4560
5 Cl 0.7902 0.6728 0.9545
6 Cl 0.4083 0.5221 0.7556
7 Cl 0.5917 0.4779 0.2444
8 Cl 0.8281 0.7219 0.5440
9 Cl 0.2902 0.8272 0.4545
10 Cl 0.9083 0.9779 0.2556
11 K 0.4788 0.0824 0.2501
12 Te 0.0000 0.0000 0.5000
13 K 0.0212 0.5824 0.2499
14 K 0.5212 0.9176 0.7499
15 Cl 0.3281 0.7781 0.0440
16 Te 0.5000 0.5000 0.0000
17 Cl 0.7098 0.1728 0.5455
18 Cl 0.2098 0.3272 0.0455

The value obtained for the spin magnetization is 0.000 μB per atom. The value obtained for the volume is 588.1 Å³ per cell. The calculation puts the uncorrected energy at -3.087 eV per atom.



Entry from the Alexandria database: a relaxed KTe4Cl crystal (GGA-PBE).

Cell lengths 6.4460, 6.4460, 6.4460 Å; angles 60.00, 60.00, 60.00 degrees
Fractional coordinates of all 6 atoms:
1 Te 0.3761 0.3761 0.3761
2 K 0.0000 0.0000 0.0000
3 Te 0.8717 0.3761 0.3761
4 Te 0.3761 0.3761 0.8717
5 Cl 0.7500 0.7500 0.7500
6 Te 0.3761 0.8717 0.3761

The value obtained for the spin magnetization is 0.002 μB per atom. The value obtained for the volume is 189.4 Å³ per cell. The calculation puts the uncorrected energy at -2.834 eV per atom.



Entry from the Alexandria database: a relaxed K2TeCl5 crystal (GGA-PBE).

Cell lengths 6.0567, 7.9570, 13.7898 Å; angles 90.00, 90.00, 112.37 degrees
Fractional coordinates of all 16 atoms:
1 Cl 0.0541 0.1082 0.1212
2 K 0.1606 0.3213 0.9197
3 Te 0.8238 0.6476 0.7500
4 K 0.8394 0.6787 0.4197
5 K 0.8394 0.6787 0.0803
6 Cl 0.7019 0.4038 0.6080
7 Cl 0.6926 0.3853 0.2500
8 Cl 0.0541 0.1082 0.3788
9 Cl 0.9459 0.8918 0.8788
10 Te 0.1762 0.3524 0.2500
11 Cl 0.7019 0.4038 0.8920
12 Cl 0.2981 0.5962 0.3920
13 Cl 0.3074 0.6147 0.7500
14 Cl 0.2981 0.5962 0.1080
15 Cl 0.9459 0.8918 0.6212
16 K 0.1606 0.3213 0.5803

The value obtained for the spin magnetization is 0.000 μB per atom. The value obtained for the volume is 614.6 Å³ per cell. The calculation puts the uncorrected energy at -3.065 eV per atom.



Entry from the Alexandria database: a relaxed KTeCl2 crystal (GGA-PBE).

Cell lengths 4.8557, 4.8557, 5.9996 Å; angles 90.00, 90.00, 106.10 degrees
Fractional coordinates of all 4 atoms:
1 Te 0.5000 0.5000 0.8750
2 Cl 0.5000 0.5000 0.3747
3 Cl 0.0000 0.0000 0.8751
4 K 0.0000 0.0000 0.3752

The value obtained for the spin magnetization is 0.082 μB per atom. The value obtained for the volume is 135.9 Å³ per cell. The calculation puts the uncorrected energy at -2.785 eV per atom.



Entry from the Alexandria database: a relaxed K3TeCl crystal (GGA-PBE).

Cell lengths 4.8610, 9.1698, 9.2953 Å; angles 96.01, 90.00, 90.00 degrees
Fractional coordinates of all 10 atoms:
1 K 0.5154 0.2657 0.3104
2 K 0.0154 0.5018 0.0730
3 Te 0.0154 0.5229 0.4601
4 K 0.5154 0.5622 0.7239
5 K 0.5154 0.7820 0.3651
6 K 0.0154 0.2053 0.6594
7 Te 0.5154 0.2446 0.9233
8 K 0.0154 0.9855 0.0183
9 Cl 0.0155 0.0234 0.3583
10 Cl 0.5154 0.7441 0.0250

The value obtained for the spin magnetization is 0.000 μB per atom. The value obtained for the volume is 412.1 Å³ per cell. The calculation puts the uncorrected energy at -3.008 eV per atom.



Entry from the Alexandria database: a relaxed KTeCl2 crystal (GGA-PBE).

Cell lengths 6.1998, 6.1998, 7.0879 Å; angles 57.20, 57.20, 32.19 degrees
Fractional coordinates of all 4 atoms:
1 K 0.2500 0.2500 0.2500
2 Cl 0.4861 0.4861 0.5116
3 Te 0.7500 0.7500 0.7500
4 Cl 0.0139 0.0139 0.9884

The value obtained for the spin magnetization is 0.000 μB per atom. The value obtained for the volume is 119.9 Å³ per cell. The calculation puts the uncorrected energy at -2.735 eV per atom.



Entry from the Alexandria database: a relaxed K2TeCl crystal (GGA-PBE).

Cell lengths 8.6019, 8.6019, 7.6980 Å; angles 56.03, 56.03, 90.00 degrees
Fractional coordinates of all 8 atoms:
1 Cl 0.5000 0.5000 0.0000
2 Cl 0.2500 0.7500 0.5000
3 K 0.3750 0.4221 0.7500
4 K 0.8750 0.8279 0.7500
5 Te 0.0000 0.0000 0.0000
6 K 0.1721 0.6250 0.2500
7 Te 0.7500 0.2500 0.5000
8 K 0.5779 0.1250 0.2500

The value obtained for the spin magnetization is 0.250 μB per atom. The value obtained for the volume is 349.1 Å³ per cell. The calculation puts the uncorrected energy at -2.898 eV per atom.



Entry from the Alexandria database: a relaxed K4TeCl crystal (GGA-PBE).

Cell lengths 6.9501, 6.9501, 6.9501 Å; angles 60.00, 60.00, 60.00 degrees
Fractional coordinates of all 6 atoms:
1 K 0.8725 0.3758 0.3758
2 Cl 0.0000 0.0000 0.0000
3 K 0.3758 0.3758 0.3758
4 K 0.3758 0.8725 0.3758
5 Te 0.7500 0.7500 0.7500
6 K 0.3758 0.3758 0.8725

The value obtained for the spin magnetization is 0.093 μB per atom. The value obtained for the volume is 237.4 Å³ per cell. The calculation puts the uncorrected energy at -2.046 eV per atom.



Entry from the Alexandria database: a relaxed KTeCl5 crystal (GGA-PBE).

Cell lengths 6.8763, 6.8763, 11.5231 Å; angles 74.18, 74.18, 73.23 degrees
Fractional coordinates of all 14 atoms:
1 Te 0.9542 0.0217 0.5141
2 Cl 0.3363 0.0632 0.8668
3 Cl 0.2348 0.5795 0.0317
4 Te 0.0217 0.9542 0.0141
5 Cl 0.1486 0.9882 0.1759
6 Cl 0.7162 0.8503 0.1758
7 Cl 0.0632 0.3363 0.3668
8 Cl 0.8173 0.3269 0.9885
9 K 0.4414 0.5215 0.7472
10 Cl 0.8503 0.7162 0.6758
11 Cl 0.5795 0.2348 0.5317
12 K 0.5215 0.4414 0.2472
13 Cl 0.3269 0.8173 0.4885
14 Cl 0.9882 0.1486 0.6759

The value obtained for the spin magnetization is 0.000 μB per atom. The value obtained for the volume is 490.7 Å³ per cell. The calculation puts the uncorrected energy at -2.903 eV per atom.



Entry from the Alexandria database: a relaxed K3TeCl crystal (GGA-PBE).

Cell lengths 5.8449, 5.8449, 5.8449 Å; angles 90.00, 90.00, 90.00 degrees
Fractional coordinates of all 5 atoms:
1 K 0.0000 0.5000 0.0000
2 K 0.0000 0.0000 0.5000
3 K 0.5000 0.0000 0.0000
4 Te 0.5000 0.5000 0.5000
5 Cl 0.0000 0.0000 0.0000

The value obtained for the spin magnetization is 0.000 μB per atom. The value obtained for the volume is 199.7 Å³ per cell. The calculation puts the uncorrected energy at -2.928 eV per atom.



Entry from the Alexandria database: a relaxed K2TeCl crystal (GGA-PBE).

Cell lengths 7.6725, 7.6725, 7.6725 Å; angles 144.05, 144.05, 51.76 degrees
Fractional coordinates of all 4 atoms:
1 K 0.2500 0.7500 0.5000
2 Te 0.5000 0.5000 0.0000
3 K 0.0000 0.0000 0.0000
4 Cl 0.7500 0.2500 0.5000

The value obtained for the spin magnetization is 0.254 μB per atom. The value obtained for the volume is 154.8 Å³ per cell. The calculation puts the uncorrected energy at -2.807 eV per atom.



Entry from the Alexandria database: a relaxed K3TeCl7 crystal (GGA-PBE).

Cell lengths 7.3523, 7.3523, 7.8896 Å; angles 71.57, 71.57, 86.54 degrees
Fractional coordinates of all 11 atoms:
1 Cl 0.6735 0.0628 0.1861
2 Cl 0.5389 0.5389 0.5578
3 Cl 0.8520 0.8520 0.8001
4 Cl 0.9799 0.3364 0.7462
5 Cl 0.3364 0.9799 0.7462
6 Cl 0.0628 0.6735 0.1861
7 K 0.5051 0.5051 0.9485
8 Te 0.0103 0.0103 0.9720
9 K 0.7771 0.2275 0.4759
10 K 0.2275 0.7771 0.4759
11 Cl 0.1614 0.1614 0.1553

The value obtained for the spin magnetization is 0.007 μB per atom. The value obtained for the volume is 383.5 Å³ per cell. The calculation puts the uncorrected energy at -3.097 eV per atom.



Entry from the Alexandria database: a relaxed KTeCl2 crystal (GGA-PBE).

Cell lengths 4.1435, 7.7644, 4.1675 Å; angles 90.00, 90.00, 90.00 degrees
Fractional coordinates of all 4 atoms:
1 K 0.5000 0.0000 0.5000
2 Cl 0.0000 0.0000 0.0000
3 Cl 0.5000 0.5000 0.0000
4 Te 0.0000 0.5000 0.5000

The value obtained for the spin magnetization is 0.000 μB per atom. The value obtained for the volume is 134.1 Å³ per cell. The calculation puts the uncorrected energy at -2.726 eV per atom.